The following is a DFT calculation (PBE) of NpNi4Ge after structural relaxation.

E_form (meV/atom): -165
M_tot (μB/f.u.): 2.41
Space group: F-43m

Unit cell a=4.8901 b=4.8901 c=4.8901 alpha=60.00 beta=60.00 gamma=60.00
Closest atoms and distances in Å follow each position.
Element x y z (fractional)
Ni  0.6254  0.6254  0.1237  6 Ni 2.44-2.45
Ni  0.1237  0.6254  0.6254  6 Ni 2.44-2.45
Ni  0.6254  0.6254  0.6254  6 Ni 2.44-2.45
Ni  0.6254  0.1237  0.6254  6 Ni 2.44-2.45
Ge  0.0000  0.0000  0.0000  12 Ni 2.87, 4 Np 2.99
Np  0.2500  0.2500  0.2500  12 Ni 2.87, 4 Ge 2.99

=====

The following is a DFT calculation (PBE) of Np3Ni6Ge5 after structural relaxation.

E_form (meV/atom): -319
M_tot (μB/f.u.): 10.99
Space group: Pmmn

Unit cell a=4.0154 b=9.1280 c=12.2346 alpha=90.00 beta=90.00 gamma=90.00
Closest atoms and distances in Å follow each position.
Element x y z (fractional)
Ni  0.0000  0.6090  0.3166  4 Ge 2.45-2.49, 1 Ni 2.46
Ni  0.0000  0.6090  0.6834  4 Ge 2.45-2.49, 1 Ni 2.46
Ni  0.0000  0.0220  0.5000  4 Ge 2.43-2.51, 4 Ni 2.71
Ni  0.5000  0.3910  0.1834  4 Ge 2.45-2.49, 1 Ni 2.46
Ni  0.5000  0.0121  0.6482  4 Ge 2.37-2.49
Ni  0.0000  0.9879  0.1482  4 Ge 2.37-2.49
Ni  0.5000  0.9780  0.0000  4 Ge 2.43-2.51, 4 Ni 2.71
Ni  0.5000  0.3910  0.8166  4 Ge 2.45-2.49, 1 Ni 2.46
Ni  0.0000  0.4986  0.5000  2 Ni 2.46, 4 Ge 2.52
Ni  0.5000  0.5014  0.0000  2 Ni 2.46, 4 Ge 2.52
Ni  0.0000  0.9879  0.8518  4 Ge 2.37-2.49
Ni  0.5000  0.0121  0.3518  4 Ge 2.37-2.49
Np  0.0000  0.2511  0.6807  7 Ni 2.90-3.19, 6 Ge 2.96-3.04
Np  0.5000  0.7489  0.1807  7 Ni 2.90-3.19, 6 Ge 2.96-3.04
Np  0.5000  0.7489  0.8193  7 Ni 2.90-3.19, 6 Ge 2.96-3.04
Np  0.5000  0.7567  0.5000  10 Ni 2.95-3.30, 6 Ge 2.97-3.06
Np  0.0000  0.2433  0.0000  10 Ni 2.95-3.30, 6 Ge 2.97-3.06
Np  0.0000  0.2511  0.3193  7 Ni 2.90-3.19, 6 Ge 2.96-3.04
Ge  0.5000  0.1237  0.1664  5 Ni 2.37-2.49
Ge  0.0000  0.5233  0.1231  5 Ni 2.46-2.52
Ge  0.0000  0.8763  0.3336  5 Ni 2.37-2.49
Ge  0.5000  0.1237  0.8336  5 Ni 2.37-2.49
Ge  0.5000  0.1878  0.5000  4 Ni 2.42-2.51
Ge  0.0000  0.8763  0.6664  5 Ni 2.37-2.49
Ge  0.5000  0.4767  0.3769  5 Ni 2.46-2.52
Ge  0.0000  0.8122  0.0000  4 Ni 2.42-2.51
Ge  0.5000  0.4767  0.6231  5 Ni 2.46-2.52
Ge  0.0000  0.5233  0.8769  5 Ni 2.46-2.52

=====

The following is a DFT calculation (PBE) of NpNi11Ge after structural relaxation.

E_form (meV/atom): -112
M_tot (μB/f.u.): 0.42
Space group: C2/m

Unit cell a=4.7184 b=6.2328 c=6.2496 alpha=82.38 beta=67.82 gamma=69.42
Closest atoms and distances in Å follow each position.
Element x y z (fractional)
Ni  0.5000  0.0000  0.5000  10 Ni 2.36-2.50
Ni  0.7149  0.7822  0.7805  1 Ge 2.36, 8 Ni 2.37-2.63
Ni  0.0178  0.3494  0.6443  8 Ni 2.43-2.65, 1 Ge 2.58
Ni  0.0000  0.0000  0.5000  10 Ni 2.36-2.50
Ni  0.5046  0.2178  0.7805  1 Ge 2.36, 8 Ni 2.37-2.63
Ni  0.0000  0.5000  0.0000  2 Ge 2.36, 8 Ni 2.42-2.49
Ni  0.2851  0.2178  0.2195  1 Ge 2.36, 8 Ni 2.37-2.63
Ni  0.9822  0.6506  0.3557  8 Ni 2.43-2.65, 1 Ge 2.58
Ni  0.4954  0.7822  0.2195  1 Ge 2.36, 8 Ni 2.37-2.63
Ni  0.6620  0.3494  0.3557  8 Ni 2.43-2.65, 1 Ge 2.58
Ni  0.3380  0.6506  0.6443  8 Ni 2.43-2.65, 1 Ge 2.58
Np  0.0000  0.0000  0.0000  18 Ni 2.90-3.12, 2 Ge 3.18
Ge  0.5000  0.5000  0.0000  10 Ni 2.36-2.58

=====

The following is a DFT calculation (PBE) of NpNi6Ge6 after structural relaxation.

E_form (meV/atom): -282
M_tot (μB/f.u.): 4.23
Space group: Immm

Unit cell a=5.1634 b=6.5143 c=6.5143 alpha=75.56 beta=66.65 gamma=66.65
Closest atoms and distances in Å follow each position.
Element x y z (fractional)
Np  0.0000  0.0000  0.0000  8 Ge 2.77-2.98
Ge  0.6659  0.8341  0.8341  6 Ni 2.49-2.54
Ge  0.0000  0.6535  0.3465  1 Ge 2.45, 6 Ni 2.68-2.69
Ge  0.0000  0.3465  0.6535  1 Ge 2.45, 6 Ni 2.68-2.69
Ge  0.6659  0.3341  0.3341  6 Ni 2.43-2.49
Ge  0.3341  0.1659  0.1659  6 Ni 2.49-2.54
Ge  0.3341  0.6659  0.6659  6 Ni 2.43-2.49
Ni  0.5000  0.2582  0.7418  6 Ge 2.43-2.68, 4 Ni 2.58
Ni  0.5000  0.0000  0.5000  6 Ge 2.49-2.69, 4 Ni 2.58
Ni  0.5000  0.7418  0.2582  6 Ge 2.43-2.68, 4 Ni 2.58
Ni  0.0000  0.0000  0.5000  6 Ge 2.49-2.69, 4 Ni 2.58
Ni  0.0000  0.5000  0.0000  6 Ge 2.49-2.69, 4 Ni 2.58
Ni  0.5000  0.5000  0.0000  6 Ge 2.49-2.69, 4 Ni 2.58

=====

The following is a DFT calculation (PBE) of Np2Ni5Ge3 after structural relaxation.

E_form (meV/atom): -270
Energy above the lowest structure with this stoichiometry (meV per atom): 0
M_tot (μB/f.u.): 7.39
Space group: Ibam

Unit cell a=5.6293 b=7.9754 c=7.9754 alpha=81.13 beta=69.33 gamma=69.33
Closest atoms and distances in Å follow each position.
Element x y z (fractional)
Ge  0.8659  0.7523  0.5159  5 Ni 2.35-2.36
Ge  0.7500  0.0000  0.0000  6 Ni 2.46-2.49
Ge  0.1341  0.2477  0.4841  5 Ni 2.35-2.36
Ge  0.3659  0.5159  0.7523  5 Ni 2.35-2.36
Ge  0.2500  0.0000  0.0000  6 Ni 2.46-2.49
Ge  0.6341  0.4841  0.2477  5 Ni 2.35-2.36
Ni  0.3872  0.2687  0.9569  3 Ge 2.35-2.46, 2 Ni 2.49
Ni  0.5184  0.2316  0.2316  3 Ge 2.36-2.49, 2 Ni 2.49
Ni  0.4816  0.7684  0.7684  3 Ge 2.36-2.49, 2 Ni 2.49
Ni  0.2500  0.5000  0.5000  4 Ge 2.36
Ni  0.7500  0.5000  0.5000  4 Ge 2.36
Ni  0.9816  0.7684  0.7684  3 Ge 2.36-2.49, 2 Ni 2.49
Ni  0.0184  0.2316  0.2316  3 Ge 2.36-2.49, 2 Ni 2.49
Ni  0.1128  0.0431  0.7313  3 Ge 2.35-2.46, 2 Ni 2.49
Ni  0.6128  0.7313  0.0431  3 Ge 2.35-2.46, 2 Ni 2.49
Ni  0.8872  0.9569  0.2687  3 Ge 2.35-2.46, 2 Ni 2.49
Np  0.6247  0.1368  0.6137  4 Ni 2.77-3.02, 4 Ge 2.98-3.08
Np  0.3753  0.8632  0.3863  4 Ni 2.77-3.02, 4 Ge 2.98-3.08
Np  0.1247  0.6137  0.1368  4 Ni 2.77-3.02, 4 Ge 2.98-3.08
Np  0.8753  0.3863  0.8632  4 Ni 2.77-3.02, 4 Ge 2.98-3.08

=====

The following is a DFT calculation (PBE) of NpNiGe after structural relaxation.

E_form (meV/atom): -88
M_tot (μB/f.u.): 3.69
Space group: I4mm

Unit cell a=2.9966 b=2.9966 c=5.9540 alpha=104.57 beta=104.57 gamma=90.00
Closest atoms and distances in Å follow each position.
Element x y z (fractional)
Ni  0.5912  0.5912  0.1824  4 Ge 2.45
Ge  0.9812  0.9812  0.9623  4 Ni 2.45
Np  0.2777  0.2777  0.5553  4 Ni 2.97, 4 Np 3.00, 5 Ge 3.10-3.30

=====

The following is a DFT calculation (PBE) of Np3Ni2Ge7 after structural relaxation.

E_form (meV/atom): -241
Energy above the lowest structure with this stoichiometry (meV per atom): 45
M_tot (μB/f.u.): 11.43
Space group: Cmmm

Unit cell a=4.0967 b=4.1634 c=13.0998 alpha=99.14 beta=90.00 gamma=90.00
Closest atoms and distances in Å follow each position.
Element x y z (fractional)
Ge  0.0000  0.4119  0.8237  2 Ni 2.42
Ge  0.0000  0.7763  0.5526  1 Ni 2.28, 2 Ge 2.49
Ge  0.0000  0.0000  0.0000  4 Np 2.92, 8 Ge 3.06-3.09
Ge  0.0000  0.5881  0.1763  2 Ni 2.42
Ge  0.5000  0.9123  0.8245  2 Ni 2.39
Ge  0.0000  0.2237  0.4474  1 Ni 2.28, 2 Ge 2.49
Ge  0.5000  0.0877  0.1755  2 Ni 2.39
Ni  0.0000  0.1355  0.2710  5 Ge 2.28-2.42
Ni  0.0000  0.8645  0.7290  5 Ge 2.28-2.42
Np  0.5000  0.5000  0.0000  12 Ge 2.92-3.08
Np  0.5000  0.3206  0.6412  10 Ge 3.13-3.24, 4 Ni 3.13
Np  0.5000  0.6794  0.3588  10 Ge 3.13-3.24, 4 Ni 3.13

=====

The following is a DFT calculation (PBE) of NpNi4Ge4 after structural relaxation.

E_form (meV/atom): -209
M_tot (μB/f.u.): 3.82
Space group: P4_2/nmc

Unit cell a=5.8881 b=5.8881 c=7.9753 alpha=90.00 beta=90.00 gamma=90.00
Closest atoms and distances in Å follow each position.
Element x y z (fractional)
Ni  0.2102  0.5000  0.8250  5 Ge 2.37-2.43, 1 Ni 2.48
Ni  0.2898  0.0000  0.6750  5 Ge 2.37-2.43, 1 Ni 2.48
Ni  0.0000  0.7102  0.3250  5 Ge 2.37-2.43, 1 Ni 2.48
Ni  0.7102  0.0000  0.6750  5 Ge 2.37-2.43, 1 Ni 2.48
Ni  0.7898  0.5000  0.8250  5 Ge 2.37-2.43, 1 Ni 2.48
Ni  0.5000  0.7898  0.1750  5 Ge 2.37-2.43, 1 Ni 2.48
Ni  0.5000  0.2102  0.1750  5 Ge 2.37-2.43, 1 Ni 2.48
Ni  0.0000  0.2898  0.3250  5 Ge 2.37-2.43, 1 Ni 2.48
Np  0.5000  0.5000  0.5000  4 Ni 3.10, 12 Ge 3.39
Np  0.0000  0.0000  0.0000  4 Ni 3.10, 12 Ge 3.39
Ge  0.0000  0.7281  0.6248  5 Ni 2.37-2.43
Ge  0.2719  0.0000  0.3752  5 Ni 2.37-2.43
Ge  0.0000  0.2719  0.6248  5 Ni 2.37-2.43
Ge  0.5000  0.2281  0.8752  5 Ni 2.37-2.43
Ge  0.2281  0.5000  0.1248  5 Ni 2.37-2.43
Ge  0.5000  0.7719  0.8752  5 Ni 2.37-2.43
Ge  0.7281  0.0000  0.3752  5 Ni 2.37-2.43
Ge  0.7719  0.5000  0.1248  5 Ni 2.37-2.43

=====

The following is a DFT calculation (PBE) of Np3Ni2Ge7 after structural relaxation.

E_form (meV/atom): -286
Energy above the lowest structure with this stoichiometry (meV per atom): 0
M_tot (μB/f.u.): 11.76
Space group: P2/m

Unit cell a=4.2053 b=4.1742 c=12.7710 alpha=99.43 beta=90.00 gamma=90.00
Closest atoms and distances in Å follow each position.
Element x y z (fractional)
Ge  0.0000  0.0000  0.0000  4 Np 2.96, 8 Ge 3.05
Ge  0.5000  0.9116  0.8241  2 Ni 2.33
Ge  0.0000  0.4116  0.8232  2 Ni 2.34
Ge  0.5000  0.7212  0.4420  1 Ni 2.32, 2 Ge 2.55
Ge  0.5000  0.2788  0.5580  1 Ni 2.32, 2 Ge 2.55
Ge  0.5000  0.0884  0.1759  2 Ni 2.33
Ge  0.0000  0.5884  0.1768  2 Ni 2.34
Ni  0.5000  0.3702  0.7417  5 Ge 2.32-2.34
Ni  0.5000  0.6298  0.2583  5 Ge 2.32-2.34
Np  0.5000  0.5000  0.0000  12 Ge 2.96-3.06, 2 Ni 3.25
Np  0.0000  0.1865  0.3728  10 Ge 3.09-3.25, 4 Ni 3.29-3.30
Np  0.0000  0.8135  0.6272  10 Ge 3.09-3.25, 4 Ni 3.29-3.30

=====

The following is a DFT calculation (PBE) of Np4NiGe8 after structural relaxation.

E_form (meV/atom): -183
M_tot (μB/f.u.): 7.52
Space group: Pmm2

Unit cell a=4.0058 b=4.1718 c=15.6515 alpha=90.00 beta=90.00 gamma=90.00
Closest atoms and distances in Å follow each position.
Element x y z (fractional)
Np  0.5000  0.0000  0.8946  10 Ge 2.97-3.19
Np  0.5000  0.5000  0.4021  10 Ge 3.03-3.33, 4 Ni 3.21
Np  0.0000  0.5000  0.6047  10 Ge 2.95-3.08
Np  0.0000  0.0000  0.0990  10 Ge 2.94-3.28
Ni  0.0000  0.0000  0.3125  5 Ge 2.32-2.38
Ge  0.5000  0.0000  0.2365  2 Ni 2.33
Ge  0.0000  0.5000  0.2390  2 Ni 2.38
Ge  0.0000  0.0000  0.4609  1 Ni 2.32
Ge  0.5000  0.5000  0.0486  2 Ge 2.65
Ge  0.0000  0.0000  0.7498  4 Ge 2.89, 4 Np 3.02-3.08
Ge  0.5000  0.5000  0.7505  4 Ge 2.89, 4 Np 3.04-3.07
Ge  0.5000  0.0000  0.5674  2 Ge 2.61
Ge  0.0000  0.5000  0.9374  2 Ge 2.65, 4 Np 2.97

=====

The following is a DFT calculation (PBE) of NpNiGe after structural relaxation.

E_form (meV/atom): -168
M_tot (μB/f.u.): 2.98
Space group: F-43m

Unit cell a=4.3389 b=4.3389 c=4.3389 alpha=60.00 beta=60.00 gamma=60.00
Closest atoms and distances in Å follow each position.
Element x y z (fractional)
Np  0.0000  0.0000  0.0000  4 Ni 2.66
Ni  0.2500  0.2500  0.2500  4 Ge 2.66, 4 Np 2.66
Ge  0.5000  0.5000  0.5000  4 Ni 2.66

=====

The following is a DFT calculation (PBE) of NpNi6Ge4 after structural relaxation.

E_form (meV/atom): -339
M_tot (μB/f.u.): 4.60
Space group: P-6m2

Unit cell a=3.7689 b=6.8503 c=6.8503 alpha=120.00 beta=90.00 gamma=90.00
Closest atoms and distances in Å follow each position.
Element x y z (fractional)
Ge  0.5000  0.8079  0.6159  6 Ni 2.36-2.48
Ge  0.5000  0.8079  0.1921  6 Ni 2.36-2.48
Ge  0.0000  0.3333  0.6667  9 Ni 2.42
Ge  0.5000  0.3841  0.1921  6 Ni 2.36-2.48
Ni  0.5000  0.5890  0.7945  4 Ge 2.36-2.42, 2 Ni 2.63
Ni  0.0000  0.5370  0.4630  5 Ge 2.42-2.48, 2 Ni 2.67
Ni  0.0000  0.9261  0.4630  5 Ge 2.42-2.48, 2 Ni 2.67
Ni  0.5000  0.2055  0.7945  4 Ge 2.36-2.42, 2 Ni 2.63
Ni  0.0000  0.5370  0.0739  5 Ge 2.42-2.48, 2 Ni 2.67
Ni  0.5000  0.2055  0.4110  4 Ge 2.36-2.42, 2 Ni 2.63
Np  0.0000  0.0000  0.0000  6 Ge 2.96, 6 Ni 3.08